9
Lattice="5.439 0.000 0.000 -2.720 4.711 0.000 0.000 0.000 5.221" Properties=species:S:1:pos:R:3 comment="AcHoCrO6 | Alexandria via LeMat-Bulk | PBE+U | optimized geometry" total_energy_ev_per_atom=-7.436 pbc="T T T"
Ac 0.000 0.000 0.000
Ho 0.000 3.140 2.610
Cr 2.720 1.570 2.610
O 1.996 0.231 3.686
O 1.199 1.613 1.535
O 3.443 0.231 1.535
O 1.922 2.866 3.686
O 4.241 1.613 3.686
O 3.517 2.866 1.535